# AgSb2Pt, relaxed, DFT GGA-PBEsol
data_AgSb2Pt
_chemical_formula_sum 'Ag2 Sb4 Pt2'
_cell_length_a 6.143
_cell_length_b 7.147
_cell_length_c 3.658
_cell_angle_alpha 90.00
_cell_angle_beta 90.00
_cell_angle_gamma 90.00
_symmetry_space_group_name_H-M 'C m m m'
_symmetry_Int_Tables_number 65
_symmetry_space_group_name_Hall '-C 2 2'
loop_
_atom_site_label
_atom_site_fract_x
_atom_site_fract_y
_atom_site_fract_z
Ag1 0.000 0.000 0.000
Sb1 0.250 0.250 0.500
Pt1 0.000 0.500 0.000
# Total magnetic moment   0.00 μB/f.u.
# DOS(E_F)   0.39 states/eV/atom
# Final energy   -4.8173 eV per atom
# Uncorrected formation energy   0.12 eV per formula unit
# Distance to the lowest polymorph of the same formula   0.14 eV per formula unit
# ρ   11.3 Mg/m³